Record 1
This record from the Alexandria database describes a relaxed structure of InNiOs2. The functional is PBE-GGA.

Structure (POSCAR):
```
InNiOs2
1.0
2.995 0.000 0.000
0.000 2.995 0.000
0.000 0.000 6.697
In Ni Os
1 1 2
Direct
0.000 0.000 0.000
0.000 0.000 0.500
0.500 0.500 0.297
0.500 0.500 0.703
```

The total DFT energy (no corrections) comes out at -29.06 eV for the cell shown. The energy of formation from the pure elements comes out at 0.479 eV per atom.


Record 2
This record from the Alexandria database describes a relaxed structure of InNiOs2. The functional is PBE-GGA.

Structure (POSCAR):
```
InNiOs2
1.0
-1.911 1.911 4.125
1.911 -1.911 4.125
1.911 1.911 -4.125
In Ni Os
1 1 2
Direct
0.000 0.000 0.000
0.500 0.500 0.000
0.250 0.750 0.500
0.750 0.250 0.500
```

The total DFT energy (no corrections) comes out at -28.78 eV for the cell shown. The energy of formation from the pure elements comes out at 0.551 eV per atom.


Record 3
This record from the Alexandria database describes a relaxed structure of InNiOs2. The functional is PBE-GGA.

Structure (POSCAR):
```
InNiOs2
1.0
4.470 -1.422 0.000
4.470 1.422 0.000
-0.776 0.000 4.774
In Ni Os
1 1 2
Direct
0.000 0.000 0.000
0.247 0.247 0.774
0.501 0.501 0.504
0.758 0.758 0.326
```

The total DFT energy (no corrections) comes out at -29.61 eV for the cell shown. The energy of formation from the pure elements comes out at 0.341 eV per atom.


- Which value of energy of formation from the pure elements does entry 1 give?
  0.479 eV per atom


- What is the total DFT energy (no corrections) in the second record?
  -28.78 eV for the cell shown


- Among the records above, which one has the lowest energy of formation from the pure elements?
  number 3